[1]
DFT (meta-GGA SCAN) results for a crystal of CeCO relaxed with PBEsol.

Cell: 3.816 3.873 6.735 Å, 96.27 90.00 119.51°
Positions (direct):
C  0.060  0.120  0.931
C  0.940  0.880  0.069
Ce  0.304  0.609  0.273
Ce  0.696  0.391  0.727
O  0.651  0.302  0.376
O  0.349  0.698  0.624

Output
Space-group type = C2/m
D(E_F) = 3.94 states/eV/cell
Formation energy without anion corrections = -2.058 eV/atom



[2]
DFT (meta-GGA SCAN) results for a crystal of TaReW2 relaxed with PBEsol.

Cell: 2.756 5.216 5.226 Å, 116.87 100.06 100.26°
Positions (direct):
Re  0.500  0.000  0.000
Ta  0.000  0.500  0.000
W  0.000  0.000  0.500
W  0.500  0.500  0.500

Output
Space-group type = C2/m
D(E_F) = 2.00 states/eV/cell
ΔE to the lowest computed polymorph = 65.4 meV/atom
Formation enthalpy at 0 K = -0.14 eV per atom



[3]
DFT (meta-GGA SCAN) results for a crystal of Dy6Al2SiS14 relaxed with PBEsol.

Cell: 5.706 9.640 9.640 Å, 120.00 90.00 90.00°
Positions (direct):
S  0.859  0.000  0.000
S  0.380  0.667  0.333
S  0.627  0.237  0.811
S  0.627  0.189  0.427
S  0.627  0.573  0.763
S  0.095  0.425  0.514
S  0.095  0.486  0.912
S  0.095  0.088  0.575
S  0.342  0.232  0.147
S  0.342  0.853  0.085
S  0.342  0.915  0.768
S  0.840  0.422  0.182
S  0.840  0.818  0.240
S  0.840  0.760  0.578
Si  0.490  0.000  0.000
Al  0.864  0.333  0.667
Al  0.996  0.667  0.333
Dy  0.068  0.198  0.896
Dy  0.068  0.104  0.302
Dy  0.068  0.698  0.802
Dy  0.585  0.476  0.442
Dy  0.585  0.558  0.034
Dy  0.585  0.966  0.524

Output
Space-group type = P3
D(E_F) = 0.00 states/eV/cell
Formation energy without anion corrections = -1.921 eV/atom



[4]
DFT (meta-GGA SCAN) results for a crystal of YBeMo relaxed with PBEsol.

Cell: 4.252 4.252 4.252 Å, 60.00 60.00 60.00°
Positions (direct):
Y  0.500  0.500  0.500
Be  0.250  0.250  0.250
Mo  0.000  0.000  0.000

Output
Space-group type = F-43m
D(E_F) = 3.15 states/eV/cell
ΔE to the lowest computed polymorph = 0.0 meV/atom
Formation enthalpy at 0 K = 0.69 eV per atom



[5]
DFT (meta-GGA SCAN) results for a crystal of YSbAs2 relaxed with PBEsol.

Cell: 3.863 3.950 6.410 Å, 109.49 90.00 90.00°
Positions (direct):
Y  0.500  0.500  0.000
Sb  0.500  0.000  0.500
As  0.000  0.156  0.212
As  0.000  0.844  0.788

Output
Space-group type = P2/m
D(E_F) = 1.56 states/eV/cell
Formation energy without anion corrections = -0.599 eV/atom



[6]
DFT (meta-GGA SCAN) results for a crystal of FeAgBr2 relaxed with PBEsol.

Cell: 4.853 4.853 4.853 Å, 60.00 60.00 60.00°
Positions (direct):
Ag  0.500  0.500  0.500
Br  0.000  0.000  0.000
Br  0.250  0.250  0.250
Fe  0.750  0.750  0.750

Output
Space-group type = F-43m
D(E_F) = 5.43 states/eV/cell
ΔE to the lowest computed polymorph = 583.0 meV/atom
Formation energy without anion corrections = 0.591 eV/atom



[7]
DFT (meta-GGA SCAN) results for a crystal of Zr4B15Ir12 relaxed with PBEsol.

Cell: 3.533 7.488 12.978 Å, 90.04 90.04 90.01°
Positions (direct):
Zr  0.251  0.500  0.831
Zr  0.253  0.001  0.336
Zr  0.747  0.999  0.664
Zr  0.749  0.500  0.169
B  0.500  0.000  0.000
B  0.500  0.500  0.500
B  0.000  0.000  0.000
B  0.761  0.326  0.722
B  0.755  0.825  0.225
B  0.753  0.751  0.799
B  0.762  0.253  0.303
B  0.750  0.424  0.975
B  0.769  0.921  0.476
B  0.245  0.175  0.775
B  0.239  0.674  0.278
B  0.238  0.747  0.697
B  0.247  0.249  0.201
B  0.231  0.079  0.524
B  0.250  0.576  0.025
Ir  0.739  0.591  0.662
Ir  0.749  0.091  0.163
Ir  0.751  0.709  0.963
Ir  0.734  0.211  0.466
Ir  0.748  0.199  0.873
Ir  0.741  0.698  0.373
Ir  0.251  0.909  0.837
Ir  0.261  0.409  0.338
Ir  0.266  0.789  0.534
Ir  0.249  0.291  0.037
Ir  0.259  0.302  0.627
Ir  0.252  0.801  0.127

Output
Space-group type = P-1
D(E_F) = 5.33 states/eV/cell
Formation enthalpy at 0 K = -0.65 eV per atom



[8]
DFT (meta-GGA SCAN) results for a crystal of GaPAu2 relaxed with PBEsol.

Cell: 4.544 4.544 4.544 Å, 60.00 60.00 60.00°
Positions (direct):
P  0.000  0.000  0.000
Au  0.250  0.250  0.250
Au  0.750  0.750  0.750
Ga  0.500  0.500  0.500

Output
Space-group type = Fm-3m
D(E_F) = 1.20 states/eV/cell
Formation enthalpy at 0 K = 0.30 eV per atom



[9]
DFT (meta-GGA SCAN) results for a crystal of Ho2AgAu relaxed with PBEsol.

Cell: 4.993 4.993 4.993 Å, 60.00 60.00 60.00°
Positions (direct):
Au  0.000  0.000  0.000
Ho  0.250  0.250  0.250
Ho  0.750  0.750  0.750
Ag  0.500  0.500  0.500

Output
Space-group type = Fm-3m
D(E_F) = 1.95 states/eV/cell
Formation enthalpy at 0 K = -0.76 eV per atom



[10]
DFT (meta-GGA SCAN) results for a crystal of CrCdSi relaxed with PBEsol.

Cell: 3.075 3.074 5.393 Å, 106.56 106.56 90.00°
Positions (direct):
Cd  0.004  0.004  0.007
Cr  0.702  0.702  0.403
Si  0.295  0.295  0.589

Output
Space-group type = I4mm
D(E_F) = 1.33 states/eV/cell
Formation energy without anion corrections = 0.272 eV/atom



[11]
DFT (meta-GGA SCAN) results for a crystal of LiReSe2 relaxed with PBEsol.

Cell: 2.808 2.808 9.500 Å, 90.00 90.00 112.94°
Positions (direct):
Li  0.000  0.000  0.497
Re  0.500  0.500  0.250
Se  0.000  0.000  0.045
Se  0.500  0.500  0.709

Output
Space-group type = Cmm2
D(E_F) = 2.15 states/eV/cell
ΔE to the lowest computed polymorph = 347.8 meV/atom
Formation energy without anion corrections = 0.240 eV/atom



[12]
DFT (meta-GGA SCAN) results for a crystal of Te2AuCl relaxed with PBEsol.

Cell: 5.037 5.037 5.037 Å, 60.00 60.00 60.00°
Positions (direct):
Te  0.000  0.000  0.000
Te  0.750  0.750  0.750
Au  0.500  0.500  0.500
Cl  0.250  0.250  0.250

Output
Space-group type = F-43m
D(E_F) = 1.69 states/eV/cell
Formation energy without anion corrections = 0.247 eV/atom



[13]
DFT (meta-GGA SCAN) results for a crystal of LaSi2P relaxed with PBEsol.

Cell: 4.139 4.397 4.594 Å, 90.00 90.00 93.15°
Positions (direct):
P  0.500  0.000  0.500
Si  0.270  0.142  0.000
Si  0.730  0.858  0.000
La  0.000  0.500  0.500

Output
Space-group type = P2/m
D(E_F) = 1.50 states/eV/cell
Formation energy without anion corrections = -0.385 eV/atom



[14]
DFT (meta-GGA SCAN) results for a crystal of NbGaIr3 relaxed with PBEsol.

Cell: 4.434 4.434 4.434 Å, 90.00 90.00 90.00°
Positions (direct):
Nb  0.500  0.500  0.500
Ir  0.000  0.500  0.000
Ir  0.000  0.000  0.500
Ir  0.500  0.000  0.000
Ga  0.000  0.000  0.000

Output
Space-group type = Pm-3m
D(E_F) = 5.75 states/eV/cell
Formation enthalpy at 0 K = 1.04 eV per atom



[15]
DFT (meta-GGA SCAN) results for a crystal of Hf2AlPd2 relaxed with PBEsol.

Cell: 3.345 7.281 7.281 Å, 90.00 90.00 90.00°
Positions (direct):
Hf  0.500  0.170  0.670
Hf  0.500  0.670  0.830
Hf  0.500  0.830  0.330
Hf  0.500  0.330  0.170
Al  0.000  0.000  0.000
Al  0.000  0.500  0.500
Pd  0.000  0.369  0.869
Pd  0.000  0.869  0.631
Pd  0.000  0.631  0.131
Pd  0.000  0.131  0.369

Output
Space-group type = P4/mbm
D(E_F) = 4.94 states/eV/cell
Formation enthalpy at 0 K = -0.77 eV per atom



[16]
DFT (meta-GGA SCAN) results for a crystal of Sr2TcAg relaxed with PBEsol.

Cell: 3.496 3.496 8.384 Å, 90.00 90.00 90.00°
Positions (direct):
Ag  0.500  0.500  0.500
Sr  0.000  0.000  0.762
Sr  0.000  0.000  0.238
Tc  0.500  0.500  0.000

Output
Space-group type = P4/mmm
D(E_F) = 2.21 states/eV/cell
ΔE to the lowest computed polymorph = 0.0 meV/atom
Formation enthalpy at 0 K = 0.51 eV per atom



[17]
DFT (meta-GGA SCAN) results for a crystal of Li3CuPO5 relaxed with PBEsol.

Cell: 4.905 5.327 15.396 Å, 90.00 90.00 90.00°
Positions (direct):
Li  0.999  0.658  0.592
Li  0.999  0.158  0.908
Li  0.501  0.331  0.000
Li  0.501  0.831  0.500
Li  0.500  0.332  0.804
Li  0.500  0.832  0.696
Li  0.499  0.342  0.408
Li  0.499  0.842  0.092
Li  0.001  0.669  0.000
Li  0.001  0.169  0.500
Li  0.000  0.168  0.304
Li  0.000  0.668  0.196
Cu  0.015  0.165  0.713
Cu  0.015  0.665  0.787
Cu  0.515  0.335  0.213
Cu  0.515  0.835  0.287
P  0.997  0.169  0.101
P  0.997  0.669  0.399
P  0.497  0.331  0.601
P  0.497  0.831  0.899
O  0.105  0.341  0.810
O  0.105  0.841  0.690
O  0.101  0.395  0.402
O  0.101  0.895  0.098
O  0.103  0.316  0.020
O  0.103  0.816  0.480
O  0.094  0.301  0.186
O  0.094  0.801  0.314
O  0.179  0.330  0.599
O  0.179  0.830  0.901
O  0.605  0.159  0.310
O  0.605  0.659  0.190
O  0.601  0.605  0.598
O  0.601  0.105  0.902
O  0.603  0.184  0.520
O  0.603  0.684  0.980
O  0.594  0.199  0.686
O  0.594  0.699  0.814
O  0.679  0.170  0.099
O  0.679  0.670  0.401

Output
Space-group type = Pna2_1
Formation energy without anion corrections = -2.172 eV/atom



[18]
DFT (meta-GGA SCAN) results for a crystal of Bi3RhPb relaxed with PBEsol.

Cell: 5.287 5.287 5.287 Å, 90.00 90.00 90.00°
Positions (direct):
Pb  0.500  0.500  0.500
Rh  0.000  0.000  0.000
Bi  0.000  0.500  0.000
Bi  0.000  0.000  0.500
Bi  0.500  0.000  0.000

Output
Space-group type = Pm-3m
D(E_F) = 4.89 states/eV/cell
Formation enthalpy at 0 K = 0.30 eV per atom



[19]
DFT (meta-GGA SCAN) results for a crystal of K2CuRu relaxed with PBEsol.

Cell: 2.687 6.043 6.310 Å, 108.12 102.29 90.00°
Positions (direct):
Cu  0.199  0.765  0.399
K  0.975  0.928  0.950
K  0.775  0.322  0.551
Ru  0.550  0.485  0.101

Output
Space-group type = Cm
D(E_F) = 3.42 states/eV/cell
ΔE to the lowest computed polymorph = 127.3 meV/atom
Formation enthalpy at 0 K = 0.86 eV per atom



[20]
DFT (meta-GGA SCAN) results for a crystal of Ga2TcOs relaxed with PBEsol.

Cell: 4.266 4.266 4.266 Å, 60.00 60.00 60.00°
Positions (direct):
Os  0.500  0.500  0.500
Tc  0.000  0.000  0.000
Ga  0.250  0.250  0.250
Ga  0.750  0.750  0.750

Output
Space-group type = Fm-3m
D(E_F) = 3.80 states/eV/cell
Formation enthalpy at 0 K = 0.02 eV per atom



For reference, total magnetization by record: 0.100; 0.000; 0.000; 0.535; 0.000; 0.816; 0.000; 0.000; 0.000; 0.655; 0.000; 0.000; 0.000; 0.251; 0.001; 0.462; 0.101; 0.000; 0.093; 0.000 μB/atom.
For reference, E by record: -22.36; -69.40; -21.36; -21.67; -26.97; -21.51; -35.73; -40.96; -50.39; -19.33; -28.17; -37.66; -18.77; -51.51; -40.50; -27.23; -8.56; -68.76; -15.81; -34.89 eV per atom.